Entry from the Alexandria database: a relaxed structure of Zn2CrSbO6 (PBE+U).

The structure belongs to space group P2_1/m (No. 11); the cell edges are 5.250, 7.715 and 5.300 Å and the angles 90.00°, 90.05° and 90.00°. The asymmetric unit holds Zn at (0.011, 0.250, 0.448), Zn at (0.479, 0.750, 0.019), Cr at (0.000, 0.000, 0.000), Sb at (0.500, 0.000, 0.500), O at (0.112, 0.750, 0.921), O at (0.180, 0.066, 0.676), O at (0.330, 0.066, 0.181) and O at (0.371, 0.750, 0.421).

The volume is 214.7 Å³ per cell. Its raw total energy is -117.69 eV per cell.